Here is a relaxed structure of Li4Mn3Nb2Cr3O16 from the Alexandria database. Energies are from PBE+U.

DFT total energy = -7.51 eV/atom
crystal system = monoclinic

a b c (Å): 10.4757 5.9304 9.7701
angles (deg): 90.00 92.56 90.00
Space group Cm (No. 8)
Symmetry-distinct sites (fractional):
Li (0.0000, 0.0000, 0.0000)
Li (0.0087, 0.0000, 0.5001)
Li (0.1701, 0.5000, 0.0892)
Li (0.3424, 0.0000, 0.5856)
Mn (0.0865, 0.2542, 0.7754)
Mn (0.1729, 0.0000, 0.2773)
Nb (0.1841, 0.5000, 0.4965)
Nb (0.3350, 0.0000, 0.0010)
Cr (0.3320, 0.5000, 0.7756)
Cr (0.4191, 0.2454, 0.2749)
O (0.0071, 0.0000, 0.1859)
O (0.0250, 0.5000, 0.6517)
O (0.0845, 0.2549, 0.4017)
O (0.1616, 0.0000, 0.8971)
O (0.1693, 0.5000, 0.8760)
O (0.2518, 0.2803, 0.6409)
O (0.2639, 0.2255, 0.1460)
O (0.3344, 0.0000, 0.3771)
O (0.3407, 0.5000, 0.3908)
O (0.4081, 0.2517, 0.9020)
O (0.4829, 0.0000, 0.1511)
O (0.4994, 0.5000, 0.6867)